No. 1
Below is crystalline Ce2GdTh at its relaxed geometry, with properties calculated at the PBE level.

Unit cell a=4.8910 b=4.8910 c=4.9741 alpha=90.00 beta=90.00 gamma=90.00
Fractional positions:
Ce1 0.0000 0.5000 0.0000
Ce2 0.5000 0.0000 0.0000
Gd1 0.0000 0.0000 0.5000
Th1 0.5000 0.5000 0.5000

Computed properties:
ΔE_f: 0.078 eV/atom
polymorph energy (0 for the lowest one): 0.373 kcal/mol of atoms
density of states at the Fermi level: 10.29 states/eV/cell
uncorrected energy: -8.264 eV/atom
magnetic moment: 6.17 Bohr magnetons per cell

***

No. 2
Below is crystalline CeGdTh at its relaxed geometry, with properties calculated at the PBE level.

Unit cell a=3.5336 b=3.5336 c=14.8888 alpha=90.00 beta=90.00 gamma=90.00
Fractional positions:
Ce1 0.0000 0.0000 0.0000
Ce2 0.5000 0.5000 0.5000
Gd1 0.0000 0.0000 0.6739
Gd2 0.5000 0.5000 0.1739
Th1 0.0000 0.0000 0.3419
Th2 0.5000 0.5000 0.8419

Computed properties:
ΔE_f: 0.062 eV/atom
polymorph energy (0 for the lowest one): 0.182 kcal/mol of atoms
density of states at the Fermi level: 13.68 states/eV/cell
uncorrected energy: -9.083 eV/atom
magnetic moment: 13.95 Bohr magnetons per cell

***

No. 3
Below is crystalline CeGdTh2 at its relaxed geometry, with properties calculated at the PBE level.

Unit cell a=5.0105 b=5.0105 c=4.9443 alpha=90.00 beta=90.00 gamma=90.00
Fractional positions:
Ce1 0.0000 0.0000 0.0000
Gd1 0.5000 0.5000 0.0000
Th1 0.0000 0.5000 0.5000
Th2 0.5000 0.0000 0.5000

Computed properties:
ΔE_f: 0.064 eV/atom
polymorph energy (0 for the lowest one): 0.000 kcal/mol of atoms
density of states at the Fermi level: 8.92 states/eV/cell
uncorrected energy: -8.649 eV/atom
magnetic moment: 6.56 Bohr magnetons per cell

***

No. 4
Below is crystalline Ce4GdTh at its relaxed geometry, with properties calculated at the PBE level.

Unit cell a=6.2582 b=6.2582 c=6.2582 alpha=60.00 beta=60.00 gamma=60.00
Fractional positions:
Ce1 0.1245 0.1245 0.1245
Ce2 0.1245 0.1245 0.6265
Ce3 0.1245 0.6265 0.1245
Ce4 0.6265 0.1245 0.1245
Gd1 0.5000 0.5000 0.5000
Th1 0.7500 0.7500 0.7500

Computed properties:
ΔE_f: 0.186 eV/atom
density of states at the Fermi level: 19.30 states/eV/cell
uncorrected energy: -7.353 eV/atom
magnetic moment: 4.65 Bohr magnetons per cell

***

No. 5
Below is crystalline CeGdTh2 at its relaxed geometry, with properties calculated at the PBE level.

Unit cell a=7.9314 b=7.9314 c=7.9314 alpha=90.00 beta=90.00 gamma=90.00
Fractional positions:
Ce1 0.0000 0.0000 0.0000
Ce2 0.0000 0.5000 0.5000
Ce3 0.5000 0.0000 0.5000
Ce4 0.5000 0.5000 0.0000
Gd1 0.0000 0.0000 0.5000
Gd2 0.0000 0.5000 0.0000
Gd3 0.5000 0.0000 0.0000
Gd4 0.5000 0.5000 0.5000
Th1 0.2500 0.2500 0.2500
Th2 0.2500 0.2500 0.7500
Th3 0.2500 0.7500 0.2500
Th4 0.2500 0.7500 0.7500
Th5 0.7500 0.2500 0.2500
Th6 0.7500 0.2500 0.7500
Th7 0.7500 0.7500 0.2500
Th8 0.7500 0.7500 0.7500

Computed properties:
ΔE_f: 0.195 eV/atom
polymorph energy (0 for the lowest one): 3.017 kcal/mol of atoms
density of states at the Fermi level: 43.57 states/eV/cell
uncorrected energy: -8.519 eV/atom
magnetic moment: 28.68 Bohr magnetons per cell

***

No. 6
Below is crystalline Ce2GdTh at its relaxed geometry, with properties calculated at the PBE level.

Unit cell a=7.9322 b=7.9322 c=7.9322 alpha=90.00 beta=90.00 gamma=90.00
Fractional positions:
Ce1 0.2500 0.2500 0.2500
Ce2 0.2500 0.2500 0.7500
Ce3 0.2500 0.7500 0.2500
Ce4 0.2500 0.7500 0.7500
Ce5 0.7500 0.2500 0.2500
Ce6 0.7500 0.2500 0.7500
Ce7 0.7500 0.7500 0.2500
Ce8 0.7500 0.7500 0.7500
Gd1 0.0000 0.0000 0.0000
Gd2 0.0000 0.5000 0.5000
Gd3 0.5000 0.0000 0.5000
Gd4 0.5000 0.5000 0.0000
Th1 0.0000 0.0000 0.5000
Th2 0.0000 0.5000 0.0000
Th3 0.5000 0.0000 0.0000
Th4 0.5000 0.5000 0.5000

Computed properties:
ΔE_f: 0.249 eV/atom
polymorph energy (0 for the lowest one): 4.326 kcal/mol of atoms
density of states at the Fermi level: 62.28 states/eV/cell
uncorrected energy: -8.093 eV/atom
magnetic moment: 41.70 Bohr magnetons per cell

***

No. 7
Below is crystalline CeGdTh at its relaxed geometry, with properties calculated at the PBE level.

Unit cell a=3.5244 b=3.5244 c=8.6216 alpha=90.00 beta=90.00 gamma=120.00
Fractional positions:
Ce1 0.0000 0.0000 0.0000
Gd1 0.3333 0.6667 0.6579
Th1 0.6667 0.3333 0.3210

Computed properties:
ΔE_f: 0.054 eV/atom
polymorph energy (0 for the lowest one): 0.000 kcal/mol of atoms
density of states at the Fermi level: 6.88 states/eV/cell
uncorrected energy: -9.091 eV/atom
magnetic moment: 7.05 Bohr magnetons per cell

***

No. 8
Below is crystalline CeGdYTh at its relaxed geometry, with properties calculated at the PBE level.

Unit cell a=8.0104 b=8.0104 c=8.0104 alpha=90.00 beta=90.00 gamma=90.00
Fractional positions:
Ce1 0.0000 0.0000 0.0000
Ce2 0.0000 0.5000 0.5000
Ce3 0.5000 0.0000 0.5000
Ce4 0.5000 0.5000 0.0000
Gd1 0.2500 0.2500 0.7500
Gd2 0.2500 0.7500 0.2500
Gd3 0.7500 0.2500 0.2500
Gd4 0.7500 0.7500 0.7500
Y1 0.2500 0.2500 0.2500
Y2 0.2500 0.7500 0.7500
Y3 0.7500 0.2500 0.7500
Y4 0.7500 0.7500 0.2500
Th1 0.0000 0.0000 0.5000
Th2 0.0000 0.5000 0.0000
Th3 0.5000 0.0000 0.0000
Th4 0.5000 0.5000 0.5000

Computed properties:
ΔE_f: 0.201 eV/atom
density of states at the Fermi level: 48.49 states/eV/cell
uncorrected energy: -8.274 eV/atom
magnetic moment: 30.92 Bohr magnetons per cell

***

No. 9
Below is crystalline CeGdThZr at its relaxed geometry, with properties calculated at the PBE level.

Unit cell a=7.7315 b=7.7315 c=7.7315 alpha=90.00 beta=90.00 gamma=90.00
Fractional positions:
Ce1 0.0000 0.0000 0.0000
Ce2 0.0000 0.5000 0.5000
Ce3 0.5000 0.0000 0.5000
Ce4 0.5000 0.5000 0.0000
Gd1 0.2500 0.2500 0.7500
Gd2 0.2500 0.7500 0.2500
Gd3 0.7500 0.2500 0.2500
Gd4 0.7500 0.7500 0.7500
Th1 0.0000 0.0000 0.5000
Th2 0.0000 0.5000 0.0000
Th3 0.5000 0.0000 0.0000
Th4 0.5000 0.5000 0.5000
Zr1 0.2500 0.2500 0.2500
Zr2 0.2500 0.7500 0.7500
Zr3 0.7500 0.2500 0.7500
Zr4 0.7500 0.7500 0.2500

Computed properties:
ΔE_f: 0.197 eV/atom
density of states at the Fermi level: 39.65 states/eV/cell
uncorrected energy: -8.799 eV/atom
magnetic moment: 29.28 Bohr magnetons per cell

***

No. 10
Below is crystalline Ce2GdTi at its relaxed geometry, with properties calculated at the PBE level.

Unit cell a=4.6074 b=4.6074 c=4.8688 alpha=90.00 beta=90.00 gamma=90.00
Fractional positions:
Ce1 0.0000 0.5000 0.0000
Ce2 0.5000 0.0000 0.0000
Gd1 0.0000 0.0000 0.5000
Ti1 0.5000 0.5000 0.5000

Computed properties:
ΔE_f: 0.223 eV/atom
polymorph energy (0 for the lowest one): 0.000 kcal/mol of atoms
density of states at the Fermi level: 10.25 states/eV/cell
uncorrected energy: -8.238 eV/atom
magnetic moment: 6.26 Bohr magnetons per cell

***

No. 11
Below is crystalline Ce2GdTi at its relaxed geometry, with properties calculated at the PBE level.

Unit cell a=3.8680 b=3.8680 c=7.1270 alpha=90.00 beta=90.00 gamma=90.00
Fractional positions:
Ce1 0.0000 0.0000 0.2072
Ce2 0.0000 0.0000 0.7928
Gd1 0.5000 0.5000 0.5000
Ti1 0.5000 0.5000 0.0000

Computed properties:
ΔE_f: 0.234 eV/atom
polymorph energy (0 for the lowest one): 0.263 kcal/mol of atoms
density of states at the Fermi level: 11.66 states/eV/cell
uncorrected energy: -8.227 eV/atom
magnetic moment: 5.45 Bohr magnetons per cell

***

No. 12
Below is crystalline CeGd2Ti at its relaxed geometry, with properties calculated at the PBE level.

Unit cell a=3.3157 b=3.3157 c=34.8030 alpha=90.00 beta=90.00 gamma=120.00
Fractional positions:
Ce1 0.0000 0.0000 0.0000
Ce2 0.3333 0.6667 0.6667
Ce3 0.6667 0.3333 0.3333
Gd1 0.0000 0.0000 0.4163
Gd2 0.0000 0.0000 0.5837
Gd3 0.3333 0.6667 0.0829
Gd4 0.3333 0.6667 0.2504
Gd5 0.6667 0.3333 0.7496
Gd6 0.6667 0.3333 0.9171
Ti1 0.0000 0.0000 0.5000
Ti2 0.3333 0.6667 0.1667
Ti3 0.6667 0.3333 0.8333

Computed properties:
ΔE_f: 0.428 eV/atom
density of states at the Fermi level: 23.10 states/eV/cell
uncorrected energy: -10.069 eV/atom
magnetic moment: 36.71 Bohr magnetons per cell

***

No. 13
Below is crystalline CeGd2Tl at its relaxed geometry, with properties calculated at the PBE level.

Unit cell a=7.7489 b=7.7489 c=7.7489 alpha=90.00 beta=90.00 gamma=90.00
Fractional positions:
Ce1 0.0000 0.0000 0.0000
Ce2 0.0000 0.5000 0.5000
Ce3 0.5000 0.0000 0.5000
Ce4 0.5000 0.5000 0.0000
Gd1 0.2500 0.2500 0.2500
Gd2 0.2500 0.2500 0.7500
Gd3 0.2500 0.7500 0.2500
Gd4 0.2500 0.7500 0.7500
Gd5 0.7500 0.2500 0.2500
Gd6 0.7500 0.2500 0.7500
Gd7 0.7500 0.7500 0.2500
Gd8 0.7500 0.7500 0.7500
Tl1 0.0000 0.0000 0.5000
Tl2 0.0000 0.5000 0.0000
Tl3 0.5000 0.0000 0.0000
Tl4 0.5000 0.5000 0.5000

Computed properties:
ΔE_f: -0.038 eV/atom
polymorph energy (0 for the lowest one): 2.935 kcal/mol of atoms
density of states at the Fermi level: 39.11 states/eV/cell
uncorrected energy: -9.153 eV/atom
magnetic moment: 73.19 Bohr magnetons per cell

***

No. 14
Below is crystalline CeGd2Tl at its relaxed geometry, with properties calculated at the PBE level.

Unit cell a=4.9508 b=4.9508 c=4.7707 alpha=90.00 beta=90.00 gamma=90.00
Fractional positions:
Ce1 0.0000 0.0000 0.0000
Gd1 0.0000 0.5000 0.5000
Gd2 0.5000 0.0000 0.5000
Tl1 0.5000 0.5000 0.0000

Computed properties:
ΔE_f: -0.165 eV/atom
polymorph energy (0 for the lowest one): 0.000 kcal/mol of atoms
density of states at the Fermi level: 7.84 states/eV/cell
uncorrected energy: -9.280 eV/atom
magnetic moment: 16.49 Bohr magnetons per cell

***

No. 15
Below is crystalline CeGd2Tl at its relaxed geometry, with properties calculated at the PBE level.

Unit cell a=3.6089 b=3.6089 c=9.0648 alpha=90.00 beta=90.00 gamma=90.00
Fractional positions:
Ce1 0.0000 0.0000 0.0000
Gd1 0.5000 0.5000 0.2641
Gd2 0.5000 0.5000 0.7359
Tl1 0.0000 0.0000 0.5000

Computed properties:
ΔE_f: -0.140 eV/atom
polymorph energy (0 for the lowest one): 0.566 kcal/mol of atoms
density of states at the Fermi level: 5.32 states/eV/cell
uncorrected energy: -9.256 eV/atom
magnetic moment: 13.79 Bohr magnetons per cell

***

No. 16
Below is crystalline CeGdTl4 at its relaxed geometry, with properties calculated at the PBE level.

Unit cell a=6.2584 b=6.2584 c=6.2584 alpha=60.00 beta=60.00 gamma=60.00
Fractional positions:
Ce1 0.0000 0.0000 0.0000
Gd1 0.2500 0.2500 0.2500
Tl1 0.1250 0.6250 0.6250
Tl2 0.6250 0.1250 0.6250
Tl3 0.6250 0.6250 0.1250
Tl4 0.6250 0.6250 0.6250

Computed properties:
ΔE_f: -0.073 eV/atom
density of states at the Fermi level: 11.70 states/eV/cell
uncorrected energy: -4.986 eV/atom
magnetic moment: 9.00 Bohr magnetons per cell

***

No. 17
Below is crystalline CeGdTl2 at its relaxed geometry, with properties calculated at the PBE level.

Unit cell a=3.5169 b=3.5169 c=9.1290 alpha=90.00 beta=90.00 gamma=90.00
Fractional positions:
Ce1 0.0000 0.0000 0.0000
Gd1 0.0000 0.0000 0.5000
Tl1 0.5000 0.5000 0.2534
Tl2 0.5000 0.5000 0.7466

Computed properties:
ΔE_f: -0.314 eV/atom
polymorph energy (0 for the lowest one): 0.000 kcal/mol of atoms
density of states at the Fermi level: 7.95 states/eV/cell
uncorrected energy: -6.501 eV/atom
magnetic moment: 8.71 Bohr magnetons per cell

***

No. 18
Below is crystalline CeGdTl2 at its relaxed geometry, with properties calculated at the PBE level.

Unit cell a=7.7447 b=7.7447 c=7.7447 alpha=90.00 beta=90.00 gamma=90.00
Fractional positions:
Ce1 0.0000 0.0000 0.0000
Ce2 0.0000 0.5000 0.5000
Ce3 0.5000 0.0000 0.5000
Ce4 0.5000 0.5000 0.0000
Gd1 0.0000 0.0000 0.5000
Gd2 0.0000 0.5000 0.0000
Gd3 0.5000 0.0000 0.0000
Gd4 0.5000 0.5000 0.5000
Tl1 0.2500 0.2500 0.2500
Tl2 0.2500 0.2500 0.7500
Tl3 0.2500 0.7500 0.2500
Tl4 0.2500 0.7500 0.7500
Tl5 0.7500 0.2500 0.2500
Tl6 0.7500 0.2500 0.7500
Tl7 0.7500 0.7500 0.2500
Tl8 0.7500 0.7500 0.7500

Computed properties:
ΔE_f: -0.298 eV/atom
polymorph energy (0 for the lowest one): 0.360 kcal/mol of atoms
density of states at the Fermi level: 41.61 states/eV/cell
uncorrected energy: -6.485 eV/atom
magnetic moment: 34.54 Bohr magnetons per cell

***

No. 19
Below is crystalline CeGdTm2 at its relaxed geometry, with properties calculated at the PBE level.

Unit cell a=3.5247 b=3.5247 c=9.8522 alpha=90.00 beta=90.00 gamma=90.00
Fractional positions:
Ce1 0.0000 0.0000 0.0000
Gd1 0.0000 0.0000 0.5000
Tm1 0.5000 0.5000 0.2438
Tm2 0.5000 0.5000 0.7562

Computed properties:
ΔE_f: 0.061 eV/atom
polymorph energy (0 for the lowest one): 0.000 kcal/mol of atoms
density of states at the Fermi level: 8.41 states/eV/cell
uncorrected energy: -7.178 eV/atom
magnetic moment: 6.72 Bohr magnetons per cell

***

No. 20
Below is crystalline CeGdTm at its relaxed geometry, with properties calculated at the PBE level.

Unit cell a=3.5068 b=3.5068 c=8.5679 alpha=90.00 beta=90.00 gamma=120.00
Fractional positions:
Ce1 0.0000 0.0000 0.0000
Gd1 0.6667 0.3333 0.3304
Tm1 0.3333 0.6667 0.6726

Computed properties:
ΔE_f: 0.062 eV/atom
polymorph energy (0 for the lowest one): 0.000 kcal/mol of atoms
density of states at the Fermi level: 6.48 states/eV/cell
uncorrected energy: -8.100 eV/atom
magnetic moment: 6.72 Bohr magnetons per cell